[1]
Material: La15PrHo4
Method: DFT, PBE-GGA
State: optimized geometry

Results
energy relative to the elements	0.182	eV per formula unit
final energy	-96.8	eV/cell

```
data_La15PrHo4
_chemical_formula_sum 'La15 Pr1 Ho4'
_cell_length_a 5.212
_cell_length_b 5.212
_cell_length_c 26.119
_cell_angle_alpha 90.00
_cell_angle_beta 90.00
_cell_angle_gamma 90.00
_symmetry_space_group_name_H-M 'P 4/m m m'
_symmetry_Int_Tables_number 123
_symmetry_space_group_name_Hall '-P 4 2'
loop_
_atom_site_label
_atom_site_type_symbol
_atom_site_fract_x
_atom_site_fract_y
_atom_site_fract_z
La1 La 0.000 0.000 0.000
La2 La 0.000 0.000 0.202
La3 La 0.000 0.000 0.400
La4 La 0.000 0.500 0.102
La5 La 0.000 0.500 0.301
La6 La 0.000 0.500 0.500
Pr1 Pr 0.500 0.500 0.000
Ho1 Ho 0.500 0.500 0.201
Ho2 Ho 0.500 0.500 0.400
```

***

[2]
Material: La2PrHo12
Method: DFT, PBE-GGA
State: optimized geometry

Results
energy relative to the elements	1.583	eV per formula unit
final energy	-271.9	eV/cell

```
data_La2PrHo12
_chemical_formula_sum 'La8 Pr4 Ho48'
_cell_length_a 7.124
_cell_length_b 11.224
_cell_length_c 24.553
_cell_angle_alpha 90.00
_cell_angle_beta 94.16
_cell_angle_gamma 90.00
_symmetry_space_group_name_H-M 'C 1 2/m 1'
_symmetry_Int_Tables_number 12
_symmetry_space_group_name_Hall '-C 2y'
loop_
_atom_site_label
_atom_site_type_symbol
_atom_site_fract_x
_atom_site_fract_y
_atom_site_fract_z
La1 La 0.066 0.000 0.274
La2 La 0.069 0.500 0.275
Pr1 Pr 0.250 0.000 0.000
Ho1 Ho 0.018 0.250 0.075
Ho2 Ho 0.112 0.252 0.446
Ho3 Ho 0.141 0.000 0.572
Ho4 Ho 0.143 0.500 0.569
Ho5 Ho 0.168 0.251 0.667
Ho6 Ho 0.201 0.250 0.799
Ho7 Ho 0.217 0.000 0.864
Ho8 Ho 0.217 0.500 0.864
```

***

[3]
Material: La6PrHo5
Method: DFT, PBE-GGA
State: optimized geometry

Results
relative energy among the computed polymorphs	2	meV per atom
energy relative to the elements	0.266	eV per formula unit
final energy	-113.9	eV/cell

```
data_La6PrHo5
_chemical_formula_sum 'La12 Pr2 Ho10'
_cell_length_a 5.229
_cell_length_b 10.051
_cell_length_c 15.718
_cell_angle_alpha 90.00
_cell_angle_beta 90.00
_cell_angle_gamma 90.00
_symmetry_space_group_name_H-M 'I m m m'
_symmetry_Int_Tables_number 71
_symmetry_space_group_name_Hall '-I 2 2'
loop_
_atom_site_label
_atom_site_type_symbol
_atom_site_fract_x
_atom_site_fract_y
_atom_site_fract_z
La1 La 0.000 0.247 0.000
La2 La 0.000 0.251 0.333
Pr1 Pr 0.000 0.000 0.500
Ho1 Ho 0.000 0.000 0.167
Ho2 Ho 0.000 0.500 0.167
Ho3 Ho 0.000 0.500 0.500
```